No. 1
This record from the Open Quantum Materials Database describes an optimized crystal structure of PrNpCu. The functional is PBE.

abc: 4.711 4.711 4.711
angles: 60.00 60.00 60.00
Positions (direct):
Np 0.250 0.250 0.250
Pr 0.750 0.750 0.750
Cu 0.000 0.000 0.000

Summary:
Formation energy (eV/atom): 0.6282



No. 2
This record from the Open Quantum Materials Database describes an optimized crystal structure of Pr2NpCuSb4. The functional is PBE.

abc: 4.397 4.397 11.441
angles: 90.00 90.00 90.00
Positions (direct):
Cu 0.000 0.000 0.000
Pr 0.500 0.000 0.719
Pr 0.000 0.500 0.281
Sb 0.500 0.500 0.500
Sb 0.000 0.500 0.819
Sb 0.500 0.000 0.181
Np 0.500 0.500 0.000
Sb 0.000 0.000 0.500



No. 3
This record from the Open Quantum Materials Database describes an optimized crystal structure of PuNpCu. The functional is PBE.

abc: 4.668 4.668 4.668
angles: 60.00 60.00 60.00
Positions (direct):
Pu 0.750 0.750 0.750
Cu 0.000 0.000 0.000
Np 0.250 0.250 0.250

Summary:
Formation energy (eV/atom): 0.5267



No. 4
This record from the Open Quantum Materials Database describes an optimized crystal structure of RbNpCu. The functional is PBE.

abc: 5.527 5.527 5.527
angles: 60.00 60.00 60.00
Positions (direct):
Cu 0.250 0.250 0.250
Np 0.750 0.750 0.750
Rb 0.000 0.000 0.000



| no. | volume (Å³/atom) | VASP energy (eV per atom) |
| --- | --- | --- |
| 1 | 24.6 | -6.459 |
| 2 | 27.7 | -5.658 |
| 3 | 24.0 | -9.678 |
| 4 | 39.8 | -3.976 |